(1)
Density functional theory data (PBE-GGA) for a relaxed BaPAu crystal.

The structure in CIF format:
```
data_BaPAu
_space_group_name_H-M_alt 'P 63/m m c'
_space_group_IT_number 194
_space_group_name_Hall '-P 6c 2c'
_cell_length_a 5.6304
_cell_length_b 5.6304
_cell_length_c 12.7126
_cell_angle_alpha 90.00
_cell_angle_beta 90.00
_cell_angle_gamma 120.00
loop_
_atom_site_label
_atom_site_fract_x
_atom_site_fract_y
_atom_site_fract_z
_atom_site_occupancy
Ba1 0.0000 0.0000 0.2500 1
P1 0.0000 0.0000 0.0000 1
Au1 0.3333 0.6667 0.2500 1
```

- electronic total energy (eV per formula unit) = -9.2


(2)
Density functional theory data (PBE-GGA) for a relaxed Pm2HgPdO6 crystal.

The structure in CIF format:
```
data_Pm2HgPdO6
_space_group_name_H-M_alt 'P 1 21/c 1'
_space_group_IT_number 14
_cell_length_a 5.590
_cell_length_b 6.087
_cell_length_c 9.738
_cell_angle_alpha 90.00
_cell_angle_beta 123.45
_cell_angle_gamma 90.00
loop_
_space_group_symop_operation_xyz
'x,y,z'
'-x,-y,-z'
'-x,y+1/2,-z+1/2'
'x,-y+1/2,z+1/2'
loop_
_atom_site_label
_atom_site_fract_x
_atom_site_fract_y
_atom_site_fract_z
_atom_site_occupancy
Pm1 0.217 0.069 0.241 1
Hg1 0.000 0.000 0.500 1
Pd1 0.500 0.000 0.000 1
O1 0.147 0.168 0.952 1
O2 0.249 0.721 0.913 1
O3 0.408 0.073 0.772 1
```

- formation energy from raw total energies (eV/atom) = -1.85
- electronic total energy (eV per formula unit) = -63.3


(3)
Density functional theory data (PBE-GGA) for a relaxed Cd2HgPb2 crystal.

The structure in CIF format:
```
data_Cd2HgPb2
_space_group_name_H-M_alt 'P 4/m b m'
_space_group_IT_number 127
_space_group_name_Hall '-P 4 2ab'
_cell_length_a 8.773
_cell_length_b 8.773
_cell_length_c 3.812
_cell_angle_alpha 90.00
_cell_angle_beta 90.00
_cell_angle_gamma 90.00
loop_
_atom_site_label
_atom_site_fract_x
_atom_site_fract_y
_atom_site_fract_z
_atom_site_occupancy
Cd1 0.120 0.380 0.000 1
Hg1 0.000 0.000 0.500 1
Pb1 0.184 0.684 0.500 1
```

- excess energy over the best structure of this formula in the dataset (eV/atom) = 0.034
- electronic total energy (eV per formula unit) = -9.0


(4)
Density functional theory data (PBE-GGA) for a relaxed SmYHgRu crystal.

The structure in CIF format:
```
data_SmYHgRu
_space_group_name_H-M_alt 'F -4 3 m'
_space_group_IT_number 216
_space_group_name_Hall 'F -4 2 3'
_cell_length_a 7.194
_cell_length_b 7.194
_cell_length_c 7.194
_cell_angle_alpha 90.00
_cell_angle_beta 90.00
_cell_angle_gamma 90.00
loop_
_atom_site_label
_atom_site_fract_x
_atom_site_fract_y
_atom_site_fract_z
_atom_site_occupancy
Sm1 0.000 0.000 0.000 1
Y1 0.000 0.000 0.500 1
Hg1 0.250 0.250 0.250 1
Ru1 0.250 0.250 0.750 1
```

- excess energy over the best structure of this formula in the dataset (eV/atom) = 0.105
- electronic total energy (eV per formula unit) = -22.0


(5)
Density functional theory data (PBE-GGA) for a relaxed CoHgMo2 crystal.

The structure in CIF format:
```
data_CoHgMo2
_space_group_name_H-M_alt 'F -4 3 m'
_space_group_IT_number 216
_space_group_name_Hall 'F -4 2 3'
_cell_length_a 6.325
_cell_length_b 6.325
_cell_length_c 6.325
_cell_angle_alpha 90.00
_cell_angle_beta 90.00
_cell_angle_gamma 90.00
loop_
_atom_site_label
_atom_site_fract_x
_atom_site_fract_y
_atom_site_fract_z
_atom_site_occupancy
Co1 0.000 0.000 0.000 1
Hg1 0.250 0.250 0.750 1
Mo1 0.000 0.000 0.500 1
Mo2 0.250 0.250 0.250 1
```

- electronic total energy (eV per formula unit) = -26.7


(6)
Density functional theory data (PBE-GGA) for a relaxed Zr2NbPt crystal.

The structure in CIF format:
```
data_Zr2NbPt
_space_group_name_H-M_alt 'I m m m'
_space_group_IT_number 71
_space_group_name_Hall '-I 2 2'
_cell_length_a 2.880
_cell_length_b 5.107
_cell_length_c 11.172
_cell_angle_alpha 90.00
_cell_angle_beta 90.00
_cell_angle_gamma 90.00
loop_
_atom_site_label
_atom_site_fract_x
_atom_site_fract_y
_atom_site_fract_z
_atom_site_occupancy
Zr1 0.000 0.000 0.235 1
Nb1 0.000 0.000 0.500 1
Pt1 0.000 0.000 0.000 1
```

- excess energy over the best structure of this formula in the dataset (eV/atom) = 0.682
- electronic total energy (eV per formula unit) = -32.6


Number 1: calculated volume 58.2 A^3/atom. Number 2: calculated volume 13.8 A^3/atom. Number 3: calculated volume 29.3 A^3/atom. Number 4: calculated volume 23.3 A^3/atom. Number 5: calculated volume 15.8 A^3/atom. Number 6: calculated volume 20.5 A^3/atom.